Mg3TePt: optimized geometry, PBE.

It has space group Pm-3m (No. 221), with a = 5.039 Å, b = 5.039 Å, c = 5.039 Å, α = 90.00°, β = 90.00° and γ = 90.00°. The asymmetric unit holds Mg at (0.000, 0.000, 0.500), Te at (0.500, 0.500, 0.500) and Pt at (0.000, 0.000, 0.000).

The total energy comes out at -3.1850 eV/atom. The formation energy (no corrections) is -392 meV/atom. The total magnetization is 0.00 μB/cell.